Entry a
An optimized crystal structure of MgAs2Se. Source: Alexandria, functional PBE.

Structure (extended XYZ):
```
4
Lattice="0.000 3.424 3.424 3.424 0.000 3.424 3.424 3.424 0.000" Properties=species:S:1:pos:R:3 pbc="T T T"
Mg 0.000 0.000 0.000
As 1.712 1.712 1.712
As 5.136 5.136 5.136
Se 3.424 3.424 3.424
```

DOS at the Fermi energy	1.984	states/eV/f.u.
size of the total moment	0.0	Bohr magnetons per cell


Entry b
An optimized crystal structure of MgAs2Se. Source: Alexandria, functional PBE.

Structure (extended XYZ):
```
4
Lattice="1.500 0.866 11.016 -1.500 0.866 11.016 0.000 -1.733 11.016" Properties=species:S:1:pos:R:3 pbc="T T T"
Mg 0.000 0.000 0.000
As 0.000 0.000 8.783
As 0.000 0.000 24.265
Se 0.000 0.000 16.524
```

DOS at the Fermi energy	4.288	states/eV/f.u.
size of the total moment	0.0	Bohr magnetons per cell


entry a is preferred energetically. Next in line: 19 meV/atom higher.


Entry a
An optimized crystal structure of Mg2As2Se. Source: Alexandria, functional PBE.

Structure (extended XYZ):
```
10
Lattice="7.284 0.000 0.000 0.000 7.284 0.000 0.000 0.000 4.107" Properties=species:S:1:pos:R:3 pbc="T T T"
Mg 1.303 2.339 0.000
Mg 2.339 5.981 0.000
Mg 4.945 1.303 0.000
Mg 5.981 4.945 0.000
As 0.847 4.489 2.053
As 2.795 0.847 2.053
As 4.489 6.437 2.053
As 6.437 2.795 2.053
Se 0.000 0.000 0.000
Se 3.642 3.642 0.000
```

DOS at the Fermi energy	2.559	states/eV/f.u.
size of the total moment	0.0	Bohr magnetons per cell


Entry b
An optimized crystal structure of Mg2As2Se. Source: Alexandria, functional PBE.

Structure (extended XYZ):
```
5
Lattice="-2.445 2.445 4.652 2.445 -2.445 4.652 2.445 2.445 -4.652" Properties=species:S:1:pos:R:3 pbc="T T T"
Mg 2.445 0.000 2.326
Mg 0.000 2.445 2.326
As 0.000 0.000 1.197
As 0.000 0.000 8.107
Se 0.000 0.000 4.652
```

DOS at the Fermi energy	5.215	states/eV/f.u.
size of the total moment	0.0	Bohr magnetons per cell


entry a is preferred energetically. Next in line: 102 meV/atom higher.